! KAsO3 | Alexandria via LeMat-Bulk | GGA-PBEsol | relaxed; values from VASP
! Crystal system: orthorhombic
! Energy relative to the elements, uncorrected (eV/atom): -1.503
&SYSTEM
  ibrav = 0, nat = 40, ntyp = 3
/
ATOMIC_SPECIES
K 39.10 K.upf
As 74.92 As.upf
O 16.00 O.upf
CELL_PARAMETERS angstrom
11.3511 0.0000 0.0000
0.0000 11.5751 0.0000
0.0000 0.0000 4.9230
ATOMIC_POSITIONS angstrom
K 0.0000 1.2650 1.2308
K 0.0000 3.5902 3.6923
K 0.0000 7.9850 1.2308
K 0.0000 10.3101 3.6923
K 5.6756 2.1974 1.2308
K 5.6756 4.5225 3.6923
K 5.6756 7.0526 1.2308
K 5.6756 9.3778 3.6923
As 2.6134 4.7592 1.0879
As 2.6134 6.8160 3.5494
As 3.0621 1.0284 3.5494
As 3.0621 10.5468 1.0879
As 8.2890 1.0284 3.8351
As 8.2890 10.5468 1.3736
As 8.7377 4.7592 1.3736
As 8.7377 6.8160 3.8351
O 1.4079 1.1557 3.6900
O 1.4079 10.4195 1.2285
O 1.5641 3.5270 1.4386
O 1.5641 8.0481 3.9001
O 2.0999 5.2867 4.3701
O 2.0999 6.2885 1.9086
O 3.5757 0.5009 1.9086
O 3.5757 11.0743 4.3701
O 4.1114 2.2605 3.9001
O 4.1114 9.3146 1.4386
O 4.2677 4.6319 1.2285
O 4.2677 6.9432 3.6900
O 7.0834 4.6319 1.2330
O 7.0834 6.9432 3.6945
O 7.2397 2.2605 3.4845
O 7.2397 9.3146 1.0229
O 7.7755 0.5009 0.5530
O 7.7755 11.0743 3.0145
O 9.2512 5.2867 3.0145
O 9.2512 6.2885 0.5530
O 9.7870 3.5270 1.0229
O 9.7870 8.0481 3.4845
O 9.9433 1.1557 3.6945
O 9.9433 10.4195 1.2330

! ZnCuAu | Alexandria via LeMat-Bulk | GGA-PBEsol | relaxed; values from VASP
! ΔE_f (eV per atom): -0.142
! Crystal system: orthorhombic
! Energy relative to the lowest polymorph listed for this composition (meV per atom): 0
&SYSTEM
  ibrav = 0, nat = 3, ntyp = 3
/
ATOMIC_SPECIES
Zn 65.41 Zn.upf
Cu 63.55 Cu.upf
Au 196.97 Au.upf
CELL_PARAMETERS angstrom
-1.4180 1.7539 4.2085
1.4180 -1.7539 4.2085
1.4180 1.7539 -4.2085
ATOMIC_POSITIONS angstrom
Zn 0.0000 0.0000 0.0000
Cu 0.0000 0.0000 5.4554
Au 0.0000 0.0000 2.7231

! TlRe2Ni | Alexandria via LeMat-Bulk | GGA-PBEsol | relaxed; values from VASP
! ΔE_f (eV per atom): 0.876
! Crystal system: orthorhombic
! Energy relative to the lowest polymorph listed for this composition (meV per atom): 207
&SYSTEM
  ibrav = 0, nat = 4, ntyp = 3
/
ATOMIC_SPECIES
Tl 204.38 Tl.upf
Re 186.21 Re.upf
Ni 58.69 Ni.upf
CELL_PARAMETERS angstrom
2.5841 -4.1953 0.0000
2.5841 4.1953 0.0000
0.0000 0.0000 2.8273
ATOMIC_POSITIONS angstrom
Tl 0.0000 0.0000 0.0000
Re 1.2921 2.0976 1.4136
Re 1.2921 -2.0976 1.4136
Ni 2.5841 0.0000 0.0000

Record-wise total magnetic moment values, in μB/atom: 0.0001 0.0000 0.0001